# VAgWO6

A relaxed VAgWO6 crystal (PBE+U, Alexandria via LeMat-Bulk).

- VASP energy: -122.44 eV/cell

a = 5.1381 Å, b = 5.1381 Å, c = 10.2392 Å
α = 90.00°, β = 90.00°, γ = 120.00°
Space group P-31c (No. 163)
One atom of each set of equivalent atoms:
V 0.3333 0.6667 0.2500 x2
Ag 0.0000 0.0000 0.0000 x2
W 0.3333 0.6667 0.7500 x2
O 0.0061 0.3821 0.1452 x12